PaCoF2 | GGA+U | optimized geometry

Properties
density of states at the Fermi level: 1.0619 states/eV per atom
total magnetization: 2.29 μB/f.u.
E: -6.013 eV/atom

abc: 3.0993 3.0993 28.4882
angles: 90.00 90.00 120.00
Space group R-3m (No. 166, hexagonal axes)
One atom of each set of equivalent atoms:
Pa 0.0000 0.0000 0.0000 x3
Co 0.0000 0.0000 0.5000 x3
F 0.0000 0.0000 0.2749 x6

=====

PaCoF | GGA+U | optimized geometry

Properties
density of states at the Fermi level: 0.5216 states/eV per atom
total magnetization: 0.00 μB/f.u.
E: -6.563 eV/atom

abc: 5.2868 5.0298 9.0905
angles: 90.00 96.66 90.00
Space group C2/m (No. 12)
One atom of each set of equivalent atoms:
Pa 0.2122 0.0000 0.1730 x4
Co 0.1917 0.5000 0.0989 x4
F 0.2338 0.0000 0.3984 x4

=====

Co2Pb2F | GGA+U | optimized geometry

Properties
density of states at the Fermi level: 0.3770 states/eV per atom
total magnetization: 3.45 μB/f.u.
E: -3.828 eV/atom

abc: 7.2754 7.2754 3.7522
angles: 90.00 90.00 90.00
Space group P4/mbm (No. 127)
One atom of each set of equivalent atoms:
Co 0.1160 0.3840 0.0000 x4
Pb 0.1780 0.6780 0.5000 x4
F 0.0000 0.0000 0.5000 x2

=====

Co6Pb4F19 | GGA+U | optimized geometry

Properties
density of states at the Fermi level: 0.3043 states/eV per atom
total magnetization: 17.00 μB/f.u.
E: -4.922 eV/atom

abc: 9.3140 9.3140 9.3140
angles: 90.00 90.00 90.00
Space group I23 (No. 197)
One atom of each set of equivalent atoms:
Co 0.0000 0.3388 0.5000 x12
Pb 0.1640 0.1640 0.8360 x8
F 0.0000 0.0000 0.0000 x2
F 0.0000 0.0000 0.3411 x12
F 0.0492 0.3217 0.2856 x24

=====

Co3PbF | GGA+U | optimized geometry

Properties
density of states at the Fermi level: 0.8834 states/eV per atom
total magnetization: 7.31 μB/f.u.
E: -3.083 eV/atom

abc: 5.1219 5.1219 5.1219
angles: 90.00 90.00 90.00
Space group Pm-3m (No. 221)
One atom of each set of equivalent atoms:
Co 0.0000 0.0000 0.5000 x3
Pb 0.0000 0.0000 0.0000 x1
F 0.5000 0.5000 0.5000 x1

=====

CoPb2F | GGA+U | optimized geometry

Properties
density of states at the Fermi level: 1.0010 states/eV per atom
total magnetization: 0.00 μB/f.u.
E: -3.607 eV/atom

abc: 6.6501 6.6501 6.6501
angles: 90.00 90.00 90.00
Space group Fm-3m (No. 225)
One atom of each set of equivalent atoms:
Co 0.0000 0.0000 0.0000 x4
Pb 0.2500 0.2500 0.2500 x8
F 0.0000 0.0000 0.5000 x4

=====

Question: Which value of E does entry 4 give?
Answer: -4.922 eV/atom

=====

Question: Among the records above, which one has the lowest E?
Answer: PaCoF

=====

Question: Which of these has the lowest E?
Answer: PaCoF